# 1
Ce2PuS3 | GGA-PBE | relaxed

## Properties
Space-group type ... Immm (71)
Total magnetization ... 13.8 μB/cell
Formation energy (no corrections) ... -44.9 kcal/mol of atoms

Lattice parameters (Å, degrees): 3.995 5.662 12.004 90.00 90.00 90.00
Fractional positions:
Ce: 0.000 0.000 0.168
Ce: 0.000 0.000 0.832
Ce: 0.500 0.500 0.332
Ce: 0.500 0.500 0.668
Pu: 0.000 0.000 0.500
Pu: 0.500 0.500 0.000
S: 0.000 0.500 0.162
S: 0.000 0.500 0.500
S: 0.000 0.500 0.838
S: 0.500 0.000 0.000
S: 0.500 0.000 0.338
S: 0.500 0.000 0.662

=====

# 2
Ce5Pu3S8 | GGA-PBE | relaxed

## Properties
Space-group type ... R-3m (166)
Total magnetization ... 17.7 μB/cell
Formation energy (no corrections) ... -44.7 kcal/mol of atoms

Lattice parameters (Å, degrees): 7.979 7.979 7.979 59.97 59.97 59.97
Fractional positions:
Ce: 0.000 0.000 0.000
Ce: 0.000 0.500 0.500
Ce: 0.500 0.000 0.500
Ce: 0.500 0.500 0.000
Ce: 0.500 0.500 0.500
Pu: 0.000 0.000 0.500
Pu: 0.000 0.500 0.000
Pu: 0.500 0.000 0.000
S: 0.245 0.750 0.750
S: 0.247 0.247 0.247
S: 0.250 0.250 0.755
S: 0.250 0.755 0.250
S: 0.750 0.245 0.750
S: 0.750 0.750 0.245
S: 0.753 0.753 0.753
S: 0.755 0.250 0.250

=====

# 3
Ce5PuS6 | GGA-PBE | relaxed

## Properties
Space-group type ... C2/m (12)
Total magnetization ... 3.3 μB/cell
Formation energy (no corrections) ... -46.2 kcal/mol of atoms

Lattice parameters (Å, degrees): 6.933 6.933 6.936 99.57 99.57 120.00
Fractional positions:
Ce: 0.000 0.000 0.000
Ce: 0.167 0.833 0.500
Ce: 0.332 0.668 0.000
Ce: 0.668 0.332 0.000
Ce: 0.833 0.167 0.500
Pu: 0.500 0.500 0.500
S: 0.088 0.418 0.253
S: 0.253 0.253 0.748
S: 0.418 0.088 0.253
S: 0.582 0.912 0.747
S: 0.747 0.747 0.252
S: 0.912 0.582 0.747